Record 1
Below is Re2TcAu after structural relaxation, with properties calculated at the PBE-GGA level.

a = 2.7770 Å, b = 2.7770 Å, c = 8.0542 Å
α = 90.00°, β = 90.00°, γ = 90.00°
Closest atoms and distances in Å follow each position.
Element x y z (fractional)
Au1 0.5000 0.5000 0.7500  4 Au 2.78, 8 Re 2.92
Re1 0.0000 0.0000 0.0176  4 Tc 2.71, 4 Re 2.78, 4 Au 2.92
Re2 0.0000 0.0000 0.4824  4 Tc 2.71, 4 Re 2.78, 4 Au 2.92
Tc1 0.5000 0.5000 0.2500  8 Re 2.71, 4 Tc 2.78

Computed properties:
Magnetization, μB/f.u.: 0.00
DOS(E_F), states/eV/cell: 4.28
Calculated formation energy, eV/atom: 0.30
Polymorph energy (0 for the lowest one), kJ/mol of atoms: 10.2
DFT total energy, eV/atom: -9.33

Record 2
Below is Re2TcAu after structural relaxation, with properties calculated at the PBE-GGA level.

a = 4.8193 Å, b = 4.8193 Å, c = 2.8159 Å
α = 90.00°, β = 90.00°, γ = 110.26°
Closest atoms and distances in Å follow each position.
Element x y z (fractional)
Au1 0.0000 0.5000 0.5000  2 Tc 2.76, 8 Re 2.79, 2 Au 2.82
Re1 0.0000 0.0000 0.0000  4 Re 2.76-2.82, 4 Au 2.79, 4 Tc 2.79
Re2 0.5000 0.5000 0.0000  4 Re 2.76-2.82, 4 Tc 2.79, 4 Au 2.79
Tc1 0.5000 0.0000 0.5000  2 Au 2.76, 8 Re 2.79, 2 Tc 2.82

Computed properties:
Magnetization, μB/f.u.: 0.00
DOS(E_F), states/eV/cell: 3.90
Calculated formation energy, eV/atom: 0.37
Polymorph energy (0 for the lowest one), kJ/mol of atoms: 16.5
DFT total energy, eV/atom: -9.27

Record 3
Below is ReTc3Au after structural relaxation, with properties calculated at the PBE-GGA level.

a = 4.6876 Å, b = 4.6876 Å, c = 4.6876 Å
α = 90.00°, β = 90.00°, γ = 90.00°
Closest atoms and distances in Å follow each position.
Element x y z (fractional)
Re1 0.0000 0.0000 0.0000  6 Tc 2.34
Au1 0.5000 0.5000 0.5000  12 Tc 3.31
Tc1 0.0000 0.5000 0.0000  2 Re 2.34
Tc2 0.0000 0.0000 0.5000  2 Re 2.34
Tc3 0.5000 0.0000 0.0000  2 Re 2.34

Computed properties:
Magnetization, μB/f.u.: 2.53
DOS(E_F), states/eV/cell: 4.54
Calculated formation energy, eV/atom: 1.68
Polymorph energy (0 for the lowest one), kJ/mol of atoms: 0.0
DFT total energy, eV/atom: -7.68